# 1
DFT (PBE-GGA) results for Y2CdPb2 after structural relaxation.

Summary:
- Distance to the lowest polymorph of the same formula: 0.60 eV/f.u.
- Calculated formation energy: -0.264 eV per atom
- D(E_F): 0.68 states/eV/atom
- Crystal system: tetragonal
- Magnetic moment: 0.0 μB per formula unit
- Mass density: 7.85 Mg/m³

a = 8.9755 Å, b = 8.9755 Å, c = 3.7015 Å
α = 90.00°, β = 90.00°, γ = 90.00°
Space group P4/mbm (No. 127)
Unique sites:
Y1 0.1396 0.3604 0.0000 [4 per cell]
Cd1 0.0000 0.0000 0.0000 [2 per cell]
Pb1 0.1650 0.6650 0.5000 [4 per cell]

---

# 2
DFT (PBE-GGA) results for Y2CdPb after structural relaxation.

Summary:
- Calculated formation energy: -0.372 eV per atom
- D(E_F): 0.80 states/eV/atom
- Crystal system: tetragonal
- Magnetic moment: 0.0 μB per formula unit
- Mass density: 7.44 Mg/m³

a = 4.5057 Å, b = 4.5057 Å, c = 10.9360 Å
α = 90.00°, β = 90.00°, γ = 90.00°
Space group I-4m2 (No. 119)
Unique sites:
Y1 0.0000 0.0000 0.0000 [2 per cell]
Y2 0.0000 0.5000 0.2500 [2 per cell]
Cd1 0.0000 0.5000 0.7500 [2 per cell]
Pb1 0.0000 0.0000 0.5000 [2 per cell]

---

# 3
DFT (PBE-GGA) results for Y2CdPb after structural relaxation.

Summary:
- Calculated formation energy: -0.430 eV per atom
- D(E_F): 0.60 states/eV/atom
- Crystal system: monoclinic
- Magnetic moment: 0.0 μB per formula unit
- Mass density: 7.62 Mg/m³

a = 3.5644 Å, b = 4.2796 Å, c = 7.1101 Å
α = 90.00°, β = 90.08°, γ = 90.00°
Space group P2/m (No. 10)
Unique sites:
Y1 0.0005 0.0000 0.2528 [2 per cell]
Cd1 0.5000 0.5000 0.5000 [1 per cell]
Pb1 0.5000 0.5000 0.0000 [1 per cell]

---

# 4
DFT (PBE-GGA) results for Y2CdPb after structural relaxation.

Summary:
- Calculated formation energy: -0.273 eV per atom
- D(E_F): 0.57 states/eV/atom
- Crystal system: trigonal
- Magnetic moment: 0.0 μB per formula unit
- Mass density: 7.06 Mg/m³

a = 3.7336 Å, b = 3.7336 Å, c = 29.0789 Å
α = 90.00°, β = 90.00°, γ = 120.00°
Space group R-3m (No. 166, hexagonal axes)
Unique sites:
Y1 0.0000 0.0000 0.2477 [6 per cell]
Cd1 0.0000 0.0000 0.5000 [3 per cell]
Pb1 0.0000 0.0000 0.0000 [3 per cell]

---

# 5
DFT (PBE-GGA) results for YCd2Pb2 after structural relaxation.

Summary:
- Distance to the lowest polymorph of the same formula: 0.92 eV/f.u.
- Calculated formation energy: -0.066 eV per atom
- D(E_F): 0.35 states/eV/atom
- Crystal system: tetragonal
- Magnetic moment: 0.0 μB per formula unit
- Mass density: 8.61 Mg/m³

a = 4.2833 Å, b = 4.2833 Å, c = 15.3103 Å
α = 90.00°, β = 90.00°, γ = 90.00°
Space group I4/mmm (No. 139)
Unique sites:
Y1 0.0000 0.0000 0.0000 [2 per cell]
Cd1 0.0000 0.5000 0.2500 [4 per cell]
Pb1 0.0000 0.0000 0.3979 [4 per cell]

---

# 6
DFT (PBE-GGA) results for YCdPb2 after structural relaxation.

Summary:
- Calculated formation energy: -0.319 eV per atom
- D(E_F): 0.50 states/eV/atom
- Crystal system: tetragonal
- Magnetic moment: 0.0 μB per formula unit
- Mass density: 9.47 Mg/m³

a = 4.8912 Å, b = 4.8912 Å, c = 4.5144 Å
α = 90.00°, β = 90.00°, γ = 90.00°
Space group P4/mmm (No. 123)
Unique sites:
Y1 0.0000 0.0000 0.0000 [1 per cell]
Cd1 0.5000 0.5000 0.0000 [1 per cell]
Pb1 0.0000 0.5000 0.5000 [2 per cell]